(1)
The following is a DFT calculation (PBE-GGA) of a relaxed NaLuPtAu crystal.

Geometry as extended XYZ:
```
4
Lattice="0.000 3.418 3.418 3.418 0.000 3.418 3.418 3.418 0.000" Properties=species:S:1:pos:R:3 pbc="T T T"
Na 0.000 0.000 0.000
Lu 3.418 3.418 3.418
Pt 5.126 5.126 5.126
Au 1.709 1.709 1.709
```

Properties
SG: F-43m (216)



(2)
The following is a DFT calculation (PBE-GGA) of a relaxed Li3CePd2 crystal.

Geometry as extended XYZ:
```
12
Lattice="6.986 -2.053 0.000 6.986 2.053 0.000 -4.289 0.000 7.515" Properties=species:S:1:pos:R:3 pbc="T T T"
Li -0.837 0.000 3.018
Li 2.000 0.000 3.381
Li 4.521 0.000 2.365
Li 5.163 0.000 5.149
Li 7.684 0.000 4.133
Li 10.520 0.000 4.497
Ce 1.770 0.000 0.145
Ce 7.913 0.000 7.369
Pd -0.270 0.000 5.635
Pd 2.646 0.000 6.075
Pd 7.038 0.000 1.439
Pd 9.954 0.000 1.879
```

Properties
SG: C2/m (12)



| no. | formation enthalpy at 0 K (meV per atom) |
| --- | --- |
| 1 | -684.2 |
| 2 | -415.4 |